DFT (PBE-GGA) results for a relaxed Al3Cu2Si3 crystal.

Results
- raw total energy (eV per cell) = -68.62
- polymorph energy (0 for the lowest one) (meV per atom) = 105.6

Cell: 7.5726 7.5726 4.9120 Å, 90.00 90.00 120.00°
Element x y z (fractional)
Al1 0.0000 0.4130 0.2500
Al2 0.0000 0.5870 0.7500
Al3 0.4130 0.0000 0.2500
Al4 0.4130 0.4130 0.7500
Al5 0.5870 0.0000 0.7500
Al6 0.5870 0.5870 0.2500
Cu1 0.3333 0.6667 0.0000
Cu2 0.3333 0.6667 0.5000
Cu3 0.6667 0.3333 0.0000
Cu4 0.6667 0.3333 0.5000
Si1 0.0000 0.1911 0.7500
Si2 0.0000 0.8089 0.2500
Si3 0.1911 0.0000 0.7500
Si4 0.1911 0.1911 0.2500
Si5 0.8089 0.0000 0.2500
Si6 0.8089 0.8089 0.7500

DFT (PBE-GGA) results for a relaxed AlCu2Si4 crystal.

Results
- raw total energy (eV per cell) = -63.80
- polymorph energy (0 for the lowest one) (meV per atom) = 77.4

Cell: 3.8511 3.8511 19.7155 Å, 90.00 90.00 120.00°
Element x y z (fractional)
Al1 0.0000 0.0000 0.0000
Al2 0.0000 0.0000 0.5000
Cu1 0.3333 0.6667 0.1828
Cu2 0.3333 0.6667 0.8375
Cu3 0.6667 0.3333 0.3375
Cu4 0.6667 0.3333 0.6828
Si1 0.0000 0.0000 0.1347
Si2 0.0000 0.0000 0.3732
Si3 0.0000 0.0000 0.6347
Si4 0.0000 0.0000 0.8732
Si5 0.3333 0.6667 0.0637
Si6 0.3333 0.6667 0.2992
Si7 0.6667 0.3333 0.5637
Si8 0.6667 0.3333 0.7992

DFT (PBE-GGA) results for a relaxed AlCu2Si3 crystal.

Results
- raw total energy (eV per cell) = -52.49
- polymorph energy (0 for the lowest one) (meV per atom) = 170.1

Cell: 5.8256 5.8256 7.3770 Å, 90.00 90.00 126.30°
Element x y z (fractional)
Al1 0.0000 0.0000 0.0000
Al2 0.0000 0.0000 0.5000
Cu1 0.2368 0.7632 0.5700
Cu2 0.2368 0.7632 0.9300
Cu3 0.7632 0.2368 0.0700
Cu4 0.7632 0.2368 0.4300
Si1 0.1870 0.3718 0.2500
Si2 0.1927 0.8073 0.2500
Si3 0.3718 0.1870 0.7500
Si4 0.6282 0.8130 0.2500
Si5 0.8073 0.1927 0.7500
Si6 0.8130 0.6282 0.7500

DFT (PBE-GGA) results for a relaxed Al2Cu4Si crystal.

Results
- raw total energy (eV per cell) = -59.02
- polymorph energy (0 for the lowest one) (meV per atom) = 19.4

Cell: 2.7243 2.7243 28.2333 Å, 90.00 90.00 117.35°
Element x y z (fractional)
Al1 0.1391 0.8609 0.5000
Al2 0.1596 0.8404 0.3541
Al3 0.8404 0.1596 0.8541
Al4 0.8609 0.1391 0.0000
Cu1 0.1301 0.8699 0.6430
Cu2 0.1573 0.8427 0.7802
Cu3 0.4798 0.5202 0.5709
Cu4 0.4805 0.5195 0.4276
Cu5 0.5195 0.4805 0.9276
Cu6 0.5202 0.4798 0.0709
Cu7 0.8427 0.1573 0.2802
Cu8 0.8699 0.1301 0.1430
Si1 0.4782 0.5218 0.7106
Si2 0.5218 0.4782 0.2106

DFT (PBE-GGA) results for a relaxed AlCu3Si2 crystal.

Results
- raw total energy (eV per cell) = -26.12
- polymorph energy (0 for the lowest one) (meV per atom) = 86.9

Cell: 4.9969 4.9969 3.9624 Å, 90.00 90.00 120.00°
Element x y z (fractional)
Al1 0.0000 0.0000 0.0000
Cu1 0.0000 0.5000 0.5000
Cu2 0.5000 0.0000 0.5000
Cu3 0.5000 0.5000 0.5000
Si1 0.3333 0.6667 0.0000
Si2 0.6667 0.3333 0.0000

DFT (PBE-GGA) results for a relaxed AlCu6Si crystal.

Results
- raw total energy (eV per cell) = -33.54
- polymorph energy (0 for the lowest one) (meV per atom) = 140.5

Cell: 4.3020 4.3020 6.7299 Å, 105.39 105.39 68.86°
Element x y z (fractional)
Al1 0.0000 0.0000 0.0000
Cu1 0.0626 0.5672 0.1992
Cu2 0.1427 0.1427 0.4301
Cu3 0.4328 0.9374 0.8008
Cu4 0.5672 0.0626 0.1992
Cu5 0.8573 0.8573 0.5699
Cu6 0.9374 0.4328 0.8008
Si1 0.5000 0.5000 0.5000

DFT (PBE-GGA) results for a relaxed AlCu3Si crystal.

Results
- raw total energy (eV per cell) = -63.83
- polymorph energy (0 for the lowest one) (meV per atom) = 88.3

Cell: 5.8354 5.8354 5.8354 Å, 90.00 90.00 90.00°
Element x y z (fractional)
Al1 0.0000 0.0000 0.5000
Al2 0.0000 0.5000 0.0000
Al3 0.5000 0.0000 0.0000
Cu1 0.2428 0.2428 0.2428
Cu2 0.2428 0.2428 0.7572
Cu3 0.2428 0.7572 0.2428
Cu4 0.2428 0.7572 0.7572
Cu5 0.5000 0.5000 0.5000
Cu6 0.7572 0.2428 0.2428
Cu7 0.7572 0.2428 0.7572
Cu8 0.7572 0.7572 0.2428
Cu9 0.7572 0.7572 0.7572
Si1 0.0000 0.5000 0.5000
Si2 0.5000 0.0000 0.5000
Si3 0.5000 0.5000 0.0000

DFT (PBE-GGA) results for a relaxed AlCu4Si2 crystal.

Results
- raw total energy (eV per cell) = -30.31
- polymorph energy (0 for the lowest one) (meV per atom) = 100.6

Cell: 2.7144 2.7144 14.7571 Å, 90.00 90.00 120.00°
Element x y z (fractional)
Al1 0.0000 0.0000 0.0000
Cu1 0.3333 0.6667 0.4303
Cu2 0.3333 0.6667 0.8618
Cu3 0.6667 0.3333 0.1382
Cu4 0.6667 0.3333 0.5697
Si1 0.3333 0.6667 0.7009
Si2 0.6667 0.3333 0.2991

- raw total energy of number 3 (AlCu2Si3)?
  -52.49 eV per cell